## CaTl2PO4 (PBE)

Data for a geometry-optimized CaTl2PO4 structure.

The value obtained for the density of states at the Fermi level is 2.3 states/eV/cell. The calculation puts the uncorrected formation energy at -1.9540 eV per atom. Its spin magnetization is 0.0 Bohr magnetons per cell.

The space group is Pmn2_1 (No. 31) and the conventional cell measures 6.632, 9.541 and 4.825 Å, with angles of 90.00, 90.00 and 90.00 degrees. The asymmetric unit holds Ca at (0.000, 0.091, 0.000), Tl at (0.246, 0.631, 0.986), P at (0.000, 0.862, 0.441), O at (0.000, 0.019, 0.530), O at (0.000, 0.860, 0.117) and O at (0.196, 0.787, 0.542).